# 1
## Tb4MgIn (PBE)

Data for a relaxed Tb4MgIn crystal.

As for the energy relative to the lowest polymorph listed for this composition: 0.000 eV/f.u.

The space group is Pmmm (No. 47) and the conventional cell measures 3.453, 5.673 and 9.356 Å, with angles of 90.00, 90.00 and 90.00 degrees. The inequivalent atoms are Tb at (0.000, 0.000, 0.192), Tb at (0.500, 0.500, 0.303), Mg at (0.500, 0.000, 0.500) and In at (0.000, 0.500, 0.000).

# 2
## KSb2P2 (PBE)

Data for a relaxed KSb2P2 crystal.

As for the energy relative to the lowest polymorph listed for this composition: 0.000 eV/f.u.

The space group is I4/mmm (No. 139) and the conventional cell measures 5.108, 5.108 and 11.044 Å, with angles of 90.00, 90.00 and 90.00 degrees. The inequivalent atoms are K at (0.000, 0.000, 0.000), Sb at (0.000, 0.000, 0.334) and P at (0.000, 0.500, 0.250).

# 3
## Hf2InRh2 (PBE)

Data for a relaxed Hf2InRh2 crystal.

The space group is I4/mmm (No. 139) and the conventional cell measures 4.460, 4.460 and 10.609 Å, with angles of 90.00, 90.00 and 90.00 degrees. The inequivalent atoms are Hf at (0.000, 0.500, 0.250), In at (0.000, 0.000, 0.000) and Rh at (0.000, 0.000, 0.382).

# 4
## AcCe3Sm2Te6 (PBE)

Data for a relaxed AcCe3Sm2Te6 crystal.

The space group is C2/m (No. 12) and the conventional cell measures 7.789, 13.519 and 7.882 Å, with angles of 90.00, 109.34 and 90.00 degrees. The inequivalent atoms are Ac at (0.000, 0.000, 0.000), Ce at (0.000, 0.160, 0.500), Ce at (0.000, 0.500, 0.500), Sm at (0.000, 0.332, 0.000), Te at (0.237, 0.500, 0.247) and Te at (0.242, 0.328, 0.745).

# 5
## Co2RuPb (PBE)

Data for a relaxed Co2RuPb crystal.

The space group is R3m (No. 160, hexagonal axes) and the conventional cell measures 2.9926, 2.9926 and 24.7450 Å, with angles of 90.00, 90.00 and 120.00 degrees. The inequivalent atoms are Co at (0.0000, 0.0000, 0.0000), Co at (0.0000, 0.0000, 0.2672), Ru at (0.0000, 0.0000, 0.7428) and Pb at (0.0000, 0.0000, 0.5054).

# 6
## BaBePb4 (PBE)

Data for a relaxed BaBePb4 crystal.

The space group is F-43m (No. 216) and the conventional cell measures 9.303, 9.303 and 9.303 Å, with angles of 90.00, 90.00 and 90.00 degrees. The inequivalent atoms are Ba at (0.000, 0.000, 0.000), Be at (0.250, 0.250, 0.750) and Pb at (0.125, 0.125, 0.375).

# 7
## InCo2Mo (PBE)

Data for a relaxed InCo2Mo crystal.

The space group is I-42d (No. 122) and the conventional cell measures 6.785, 6.785 and 5.532 Å, with angles of 90.00, 90.00 and 90.00 degrees. The inequivalent atoms are In at (0.000, 0.000, 0.000), Co at (0.208, 0.250, 0.625) and Mo at (0.000, 0.000, 0.500).

# 8
## LiGaAgAs (PBE)

Data for a relaxed LiGaAgAs crystal.

The space group is F-43m (No. 216) and the conventional cell measures 6.587, 6.587 and 6.587 Å, with angles of 90.00, 90.00 and 90.00 degrees. The inequivalent atoms are Li at (0.000, 0.000, 0.000), Ga at (0.250, 0.250, 0.750), Ag at (0.000, 0.000, 0.500) and As at (0.250, 0.250, 0.250).

# 9
## Ce3Pm2Au6 (PBE)

Data for a relaxed Ce3Pm2Au6 crystal.

The space group is I4/mmm (No. 139) and the conventional cell measures 5.555, 5.555 and 22.156 Å, with angles of 90.00, 90.00 and 90.00 degrees. The inequivalent atoms are Ce at (0.000, 0.000, 0.000), Ce at (0.000, 0.000, 0.150), Pm at (0.000, 0.000, 0.410), Au at (0.000, 0.000, 0.281) and Au at (0.000, 0.500, 0.068).

# 10
## MgCu2Au (PBE)

Data for a relaxed MgCu2Au crystal.

The space group is R-3m (No. 166, hexagonal axes) and the conventional cell measures 2.8987, 2.8987 and 25.8430 Å, with angles of 90.00, 90.00 and 120.00 degrees. The inequivalent atoms are Mg at (0.0000, 0.0000, 0.0000), Cu at (0.0000, 0.0000, 0.2503) and Au at (0.0000, 0.0000, 0.5000).

# 11
## Rb11AuO5 (PBE)

Data for a relaxed Rb11AuO5 crystal.

The space group is C2/m (No. 12) and the conventional cell measures 9.780, 14.874 and 8.964 Å, with angles of 90.00, 110.57 and 90.00 degrees. The inequivalent atoms are Rb at (0.000, 0.000, 0.000), Rb at (0.090, 0.209, 0.851), Rb at (0.112, 0.500, 0.831), Rb at (0.211, 0.375, 0.540), Au at (0.000, 0.000, 0.500), O at (0.000, 0.500, 0.500) and O at (0.211, 0.150, 0.152).

# 12
## Zr2CrAg (PBE)

Data for a relaxed Zr2CrAg crystal.

As for the energy relative to the lowest polymorph listed for this composition: 2.574 eV/f.u.

The space group is I-42d (No. 122) and the conventional cell measures 4.109, 4.109 and 20.150 Å, with angles of 90.00, 90.00 and 90.00 degrees. The inequivalent atoms are Zr at (0.249, 0.250, 0.125), Cr at (0.000, 0.000, 0.000) and Ag at (0.000, 0.000, 0.500).

no.,total energy (eV per atom)
1,-3.78
2,-4.11
3,-7.95
4,-5.57
5,-6.11
6,-3.16
7,-6.31
8,-3.27
9,-4.53
10,-3.23
11,-3.09
12,-6.72